1.
Below is a relaxed PrDy2Tm crystal, with properties calculated at the PBE-GGA level.

a b c (Å): 3.5691 3.5691 10.1316
angles (deg): 90.00 90.00 90.00
Positions (direct):
1 Tm 0.5000 0.5000 0.0000
2 Dy 0.0000 0.0000 0.2426
3 Dy 0.0000 0.0000 0.7574
4 Pr 0.5000 0.5000 0.5000

energy relative to the lowest polymorph listed for this composition	10.9	meV per atom
E	-18.3	eV/cell
formation energy	0.0274	eV per atom

=====

2.
Below is a relaxed Pr2Dy2Tm7 crystal, with properties calculated at the PBE-GGA level.

a b c (Å): 6.0154 8.0228 8.0228
angles (deg): 92.00 73.77 73.77
Positions (direct):
1 Tm 0.1739 0.5909 0.0639
2 Dy 0.8107 0.4037 0.4037
3 Tm 0.0000 0.0000 0.0000
4 Pr 0.5000 0.7897 0.2103
5 Tm 0.5794 0.7631 0.7631
6 Tm 0.8261 0.4091 0.9361
7 Tm 0.4206 0.2369 0.2369
8 Dy 0.1893 0.5963 0.5963
9 Pr 0.5000 0.2103 0.7897
10 Tm 0.1739 0.0639 0.5909
11 Tm 0.8261 0.9361 0.4091

E	-48.3	eV/cell
formation energy	0.1611	eV per atom

=====

3.
Below is a relaxed Pr4Dy8Tm3 crystal, with properties calculated at the PBE-GGA level.

a b c (Å): 6.7661 9.3199 9.3199
angles (deg): 87.17 111.47 111.47
Positions (direct):
1 Dy 0.0031 0.2727 0.2727
2 Tm 0.5000 0.5000 0.0000
3 Dy 0.5000 0.7437 0.2563
4 Pr 0.5000 0.0000 0.0000
5 Tm 0.5000 0.5000 0.5000
6 Dy 0.5000 0.2563 0.7437
7 Tm 0.5000 0.0000 0.5000
8 Pr 0.0000 0.0000 0.0000
9 Pr 0.0000 0.5000 0.0000
10 Dy 0.5192 0.2678 0.2678
11 Pr 0.0000 0.0000 0.5000
12 Dy 0.9969 0.7273 0.7273
13 Dy 0.0000 0.6374 0.3626
14 Dy 0.4808 0.7322 0.7322
15 Dy 0.0000 0.3626 0.6374

E	-63.9	eV/cell
formation energy	0.3615	eV per atom